Compound: RhAuSe2
Source: Alexandria via LeMat-Bulk
Functional: PBE-GGA
Structure: optimized geometry

The space group is P3m1 (No. 156) and the conventional cell measures 3.6712, 3.6712 and 7.1735 Å, with angles of 90.00, 90.00 and 120.00 degrees. The distinct sites, in fractional coordinates, are Rh at (0.0000, 0.0000, 0.0000), Au at (0.3333, 0.6667, 0.4806), Se at (0.3333, 0.6667, 0.8264) and Se at (0.6667, 0.3333, 0.2055).

The uncorrected formation energy is -0.14 eV per atom. The density of states at the Fermi level comes out at 0.59 states/eV/cell.


Compound: RhAu2Se
Source: Alexandria via LeMat-Bulk
Functional: PBE-GGA
Structure: optimized geometry

The space group is F-43m (No. 216) and the conventional cell measures 6.535, 6.535 and 6.535 Å, with angles of 90.00, 90.00 and 90.00 degrees. The distinct sites, in fractional coordinates, are Rh at (0.000, 0.000, 0.000), Au at (0.000, 0.000, 0.500), Au at (0.250, 0.250, 0.250) and Se at (0.250, 0.250, 0.750).

The uncorrected formation energy is 0.30 eV per atom. The density of states at the Fermi level comes out at 7.49 states/eV/cell.